Crystalline ReNi2Os at its relaxed geometry. Source: Alexandria via LeMat-Bulk, functional PBEsol.

abc: 5.8147 5.8147 5.8147
angles: 90.00 90.00 90.00
With the nearest neighbours (Å) after each atom.
Space group Fm-3m (No. 225)
Unique sites:
Re 0.0000 0.0000 0.0000  8 Ni 2.52
Ni 0.2500 0.2500 0.2500  4 Os 2.52, 4 Re 2.52
Os 0.0000 0.0000 0.5000  8 Ni 2.52

Calculated values
energy above the lowest structure with this stoichiometry	305	meV/atom
magnetic moment	0.0001	μB/atom